# 1
Entry from Alexandria via LeMat-Bulk: a crystal of Nd3HoZr4O14 relaxed with PBEsol (meta-GGA SCAN).

Summary:
N(E_F): 0.00 states/eV/f.u.
Raw formation energy: -3.806 eV per atom
Space-group type: R-3m, No. 166

Cell: 7.481 7.481 7.481 Å, 60.02 60.02 60.02°
Sites, in units of the cell vectors:
Nd 0.000 0.500 0.500
Nd 0.500 0.000 0.500
Nd 0.500 0.500 0.000
Ho 0.500 0.500 0.500
Zr 0.000 0.000 0.000
Zr 0.000 0.000 0.500
Zr 0.000 0.500 0.000
Zr 0.500 0.000 0.000
O 0.087 0.087 0.663
O 0.087 0.663 0.087
O 0.090 0.663 0.663
O 0.337 0.337 0.910
O 0.337 0.910 0.337
O 0.337 0.913 0.913
O 0.380 0.380 0.380
O 0.620 0.620 0.620
O 0.663 0.087 0.087
O 0.663 0.090 0.663
O 0.663 0.663 0.090
O 0.910 0.337 0.337
O 0.913 0.337 0.913
O 0.913 0.913 0.337

***

# 2
Entry from Alexandria via LeMat-Bulk: a crystal of CsSb2Te2 relaxed with PBEsol (meta-GGA SCAN).

Summary:
N(E_F): 1.44 states/eV/f.u.
Raw formation energy: -0.192 eV per atom
Space-group type: P4/mbm, No. 127

Cell: 9.538 9.538 3.927 Å, 90.00 90.00 90.00°
Sites, in units of the cell vectors:
Cs 0.000 0.000 0.000
Cs 0.500 0.500 0.000
Sb 0.202 0.298 0.500
Sb 0.298 0.798 0.500
Sb 0.702 0.202 0.500
Sb 0.798 0.702 0.500
Te 0.146 0.646 0.000
Te 0.354 0.146 0.000
Te 0.646 0.854 0.000
Te 0.854 0.354 0.000

***

# 3
Entry from Alexandria via LeMat-Bulk: a crystal of ZrInBr2 relaxed with PBEsol (meta-GGA SCAN).

Summary:
N(E_F): 2.78 states/eV/f.u.
Raw formation energy: -0.499 eV per atom
Space-group type: P2/m, No. 10
Polymorph energy (0 for the lowest one): 0.353 eV/atom

Cell: 3.452 4.715 5.821 Å, 90.00 93.06 90.00°
Sites, in units of the cell vectors:
Zr 0.000 0.000 0.000
In 0.500 0.000 0.500
Br 0.168 0.500 0.766
Br 0.832 0.500 0.234

***

# 4
Entry from Alexandria via LeMat-Bulk: a crystal of Zr5Ni relaxed with PBEsol (meta-GGA SCAN).

Summary:
N(E_F): 6.27 states/eV/f.u.
Space-group type: Cm, No. 8
Polymorph energy (0 for the lowest one): 0.000 eV/atom

Cell: 5.571 5.571 7.560 Å, 107.51 107.51 33.10°
Sites, in units of the cell vectors:
Zr 0.000 0.000 0.000
Zr 0.037 0.037 0.410
Zr 0.366 0.366 0.636
Zr 0.669 0.669 0.779
Zr 0.740 0.740 0.264
Ni 0.313 0.313 0.037

***

# 5
Entry from Alexandria via LeMat-Bulk: a crystal of Re3AsH relaxed with PBEsol (meta-GGA SCAN).

Summary:
N(E_F): 3.36 states/eV/f.u.
Space-group type: Pm-3m, No. 221
Calculated total energy: -46.614 eV/atom

Cell: 3.936 3.936 3.936 Å, 90.00 90.00 90.00°
Sites, in units of the cell vectors:
Re 0.000 0.000 0.500
Re 0.000 0.500 0.000
Re 0.500 0.000 0.000
As 0.500 0.500 0.500
H 0.000 0.000 0.000

***

# 6
Entry from Alexandria via LeMat-Bulk: a crystal of Ba2AgP relaxed with PBEsol (meta-GGA SCAN).

Summary:
N(E_F): 1.27 states/eV/f.u.
Space-group type: P4/mmm, No. 123
Calculated total energy: -30.872 eV/atom

Cell: 5.452 5.452 4.042 Å, 90.00 90.00 90.00°
Sites, in units of the cell vectors:
Ba 0.000 0.500 0.000
Ba 0.500 0.000 0.000
Ag 0.000 0.000 0.500
P 0.500 0.500 0.500